Entry 1:
ReAg2Br GGA-PBE optimized geometry; space-group type = Imm2 (44); polymorph energy (0 for the lowest one) = 141 meV/atom; raw total energy = -4.24 eV/atom; formation energy from raw total energies = 69 kJ/mol of atoms
1.0
-1.4587 2.2879 6.6055
1.4587 -2.2879 6.6055
1.4587 2.2879 -6.6055
Re Ag Br
1 2 1
Direct
0.0000 0.0000 0.0000
0.1846 0.6846 0.5000
0.5527 0.5527 0.0000
0.8445 0.3445 0.5000



Entry 2:
ReAg2Br2 GGA-PBE optimized geometry; space-group type = I4/mmm (139); raw total energy = -3.09 eV/atom; formation energy from raw total energies = 116 kJ/mol of atoms
1.0
-2.4307 2.4307 5.5502
2.4307 -2.4307 5.5502
2.4307 2.4307 -5.5502
Re Ag Br
1 2 2
Direct
0.0000 0.0000 0.0000
0.3793 0.3793 0.0000
0.6207 0.6207 0.0000
0.2500 0.7500 0.5000
0.7500 0.2500 0.5000



Entry 3:
ReAg2Br8 GGA-PBE optimized geometry; space-group type = C2/m (12); raw total energy = -3.04 eV/atom; formation energy from raw total energies = -17 kJ/mol of atoms
1.0
6.2257 -3.3377 0.0000
6.2257 3.3377 0.0000
-3.5604 0.0000 9.9566
Re Ag Br
1 2 8
Direct
0.0000 0.0000 0.0000
0.1557 0.1557 0.4027
0.8443 0.8443 0.5973
0.0418 0.0418 0.7788
0.1074 0.5984 0.9107
0.3418 0.3418 0.5911
0.4016 0.8926 0.0893
0.5984 0.1074 0.9107
0.6582 0.6582 0.4089
0.8926 0.4016 0.0893
0.9582 0.9582 0.2212



Entry 4:
ReAg2Br GGA-PBE optimized geometry; space-group type = C2/m (12); polymorph energy (0 for the lowest one) = 354 meV/atom; raw total energy = -4.02 eV/atom; formation energy from raw total energies = 90 kJ/mol of atoms
1.0
6.5903 -1.4430 0.0000
6.5903 1.4430 0.0000
-1.5181 0.0000 4.2176
Re Ag Br
1 2 1
Direct
0.0000 0.0000 0.0000
0.2994 0.2994 0.7991
0.7006 0.7006 0.2009
0.5000 0.5000 0.5000



Entry 5:
Re2AgBr8 GGA-PBE optimized geometry; space-group type = C2/m (12); raw total energy = -3.69 eV/atom; formation energy from raw total energies = 5 kJ/mol of atoms
1.0
6.7368 -4.6678 0.0000
6.7368 4.6678 0.0000
-0.9219 0.0000 7.1059
Re Ag Br
2 1 8
Direct
0.2102 0.2102 0.1658
0.7898 0.7898 0.8342
0.0000 0.0000 0.5000
0.0651 0.6947 0.6961
0.1798 0.1798 0.8333
0.3053 0.9349 0.3039
0.3826 0.3826 0.2802
0.6174 0.6174 0.7198
0.6947 0.0651 0.6961
0.8202 0.8202 0.1667
0.9349 0.3053 0.3039



Entry 6:
Re2AgBr GGA-PBE optimized geometry; space-group type = C2/m (12); polymorph energy (0 for the lowest one) = 704 meV/atom; raw total energy = -6.22 eV/atom; formation energy from raw total energies = 110 kJ/mol of atoms
1.0
5.3010 -2.2566 0.0000
5.3010 2.2566 0.0000
-0.4972 0.0000 2.9488
Re Ag Br
2 1 1
Direct
0.2197 0.2197 0.1558
0.7803 0.7803 0.8442
0.5000 0.5000 0.0000
0.0000 0.0000 0.5000



Entry 7:
ReAg2Br GGA-PBE optimized geometry; space-group type = P2/m (10); polymorph energy (0 for the lowest one) = 113 meV/atom; raw total energy = -4.27 eV/atom; formation energy from raw total energies = 67 kJ/mol of atoms
1.0
2.7931 0.0000 0.0000
0.0000 2.9723 0.0000
-0.0209 0.0000 9.2773
Re Ag Br
1 2 1
Direct
0.0000 0.0000 0.0000
0.4981 0.5000 0.7795
0.5019 0.5000 0.2205
0.5000 0.0000 0.5000



Entry 8:
ReAgBr6 GGA-PBE optimized geometry; space-group type = R-3 (148); polymorph energy (0 for the lowest one) = 0 meV/atom; raw total energy = -3.41 eV/atom; formation energy from raw total energies = -23 kJ/mol of atoms
1.0
3.3234 1.9188 6.0254
-3.3234 1.9188 6.0254
0.0000 -3.8375 6.0254
Re Ag Br
1 1 6
Direct
0.0000 0.0000 0.0000
0.5000 0.5000 0.5000
0.0602 0.3969 0.7795
0.2205 0.9398 0.6031
0.3969 0.7795 0.0602
0.6031 0.2205 0.9398
0.7795 0.0602 0.3969
0.9398 0.6031 0.2205



> Among the records above, which one has the lowest formation energy from raw total energies?

ReAgBr6



> Among the records above, which one has the lowest formation energy from raw total energies?

ReAgBr6



> Look up the formation energy from raw total energies of the seventh one.

67 kJ/mol of atoms